[1]
Density functional theory data (PBE-GGA) for a geometry-optimized Pm5Hg2PdRh2 structure.

## Properties
Density of states at the Fermi level in states/eV/f.u.: 8.1
Total moment in μB/atom: 0.00
Electronic total energy in eV per atom: -4.9917

a b c (Å): 11.758 11.758 3.729
angles (deg): 90.00 90.00 90.00
Fractional coordinates of all 20 atoms:
Pm 0.000 0.500 0.000
Pm 0.084 0.194 0.000
Pm 0.194 0.916 0.000
Pm 0.306 0.416 0.000
Pm 0.416 0.694 0.000
Pm 0.500 0.000 0.000
Pm 0.584 0.306 0.000
Pm 0.694 0.584 0.000
Pm 0.806 0.084 0.000
Pm 0.916 0.806 0.000
Hg 0.172 0.672 0.500
Hg 0.328 0.172 0.500
Hg 0.672 0.828 0.500
Hg 0.828 0.328 0.500
Pd 0.000 0.000 0.500
Pd 0.500 0.500 0.500
Rh 0.133 0.367 0.500
Rh 0.367 0.867 0.500
Rh 0.633 0.133 0.500
Rh 0.867 0.633 0.500



[2]
Density functional theory data (PBE-GGA) for a geometry-optimized PmHgPdRh structure.

## Properties
Density of states at the Fermi level in states/eV/f.u.: 2.0
Total moment in μB/atom: 0.00
Electronic total energy in eV per atom: -4.9181

a b c (Å): 6.809 6.809 6.809
angles (deg): 90.00 90.00 90.00
Fractional coordinates of all 16 atoms:
Pm 0.000 0.000 0.000
Pm 0.000 0.500 0.500
Pm 0.500 0.000 0.500
Pm 0.500 0.500 0.000
Hg 0.000 0.000 0.500
Hg 0.000 0.500 0.000
Hg 0.500 0.000 0.000
Hg 0.500 0.500 0.500
Pd 0.250 0.250 0.250
Pd 0.250 0.750 0.750
Pd 0.750 0.250 0.750
Pd 0.750 0.750 0.250
Rh 0.250 0.250 0.750
Rh 0.250 0.750 0.250
Rh 0.750 0.250 0.250
Rh 0.750 0.750 0.750



[3]
Density functional theory data (PBE-GGA) for a geometry-optimized PmHgSbPd structure.

## Properties
Density of states at the Fermi level in states/eV/f.u.: 0.9
Total moment in μB/atom: 0.00
Electronic total energy in eV per atom: -4.1413

a b c (Å): 7.208 7.208 7.208
angles (deg): 90.00 90.00 90.00
Fractional coordinates of all 16 atoms:
Pm 0.000 0.000 0.000
Pm 0.000 0.500 0.500
Pm 0.500 0.000 0.500
Pm 0.500 0.500 0.000
Hg 0.250 0.250 0.750
Hg 0.250 0.750 0.250
Hg 0.750 0.250 0.250
Hg 0.750 0.750 0.750
Sb 0.250 0.250 0.250
Sb 0.250 0.750 0.750
Sb 0.750 0.250 0.750
Sb 0.750 0.750 0.250
Pd 0.000 0.000 0.500
Pd 0.000 0.500 0.000
Pd 0.500 0.000 0.000
Pd 0.500 0.500 0.500



[4]
Density functional theory data (PBE-GGA) for a geometry-optimized Pm3Si2HgPd9 structure.

## Properties
Density of states at the Fermi level in states/eV/f.u.: 5.7
Total moment in μB/atom: 0.00
Electronic total energy in eV per atom: -5.3942

a b c (Å): 5.772 5.772 10.894
angles (deg): 90.00 90.00 120.00
Fractional coordinates of all 15 atoms:
Pm 0.000 0.000 0.000
Pm 0.333 0.667 0.613
Pm 0.667 0.333 0.387
Si 0.333 0.667 0.155
Si 0.667 0.333 0.845
Hg 0.000 0.000 0.500
Pd 0.000 0.500 0.000
Pd 0.163 0.326 0.298
Pd 0.163 0.837 0.298
Pd 0.326 0.163 0.702
Pd 0.500 0.000 0.000
Pd 0.500 0.500 0.000
Pd 0.674 0.837 0.298
Pd 0.837 0.163 0.702
Pd 0.837 0.674 0.702



[5]
Density functional theory data (PBE-GGA) for a geometry-optimized PmSi2HgPd5 structure.

## Properties
Density of states at the Fermi level in states/eV/f.u.: 3.4
Total moment in μB/atom: 0.00
Electronic total energy in eV per atom: -5.2131

a b c (Å): 4.294 4.294 8.599
angles (deg): 90.00 90.00 90.00
Fractional coordinates of all 9 atoms:
Pm 0.000 0.000 0.000
Si 0.500 0.500 0.366
Si 0.500 0.500 0.634
Hg 0.000 0.000 0.500
Pd 0.000 0.500 0.242
Pd 0.000 0.500 0.758
Pd 0.500 0.000 0.242
Pd 0.500 0.000 0.758
Pd 0.500 0.500 0.000



[6]
Density functional theory data (PBE-GGA) for a geometry-optimized PmSmHgPd structure.

## Properties
Density of states at the Fermi level in states/eV/f.u.: 3.0
Distance to the lowest polymorph of the same formula in meV/atom: 17
Total moment in μB/atom: 0.00

a b c (Å): 7.398 7.398 7.398
angles (deg): 90.00 90.00 90.00
Fractional coordinates of all 16 atoms:
Pm 0.000 0.000 0.000
Pm 0.000 0.500 0.500
Pm 0.500 0.000 0.500
Pm 0.500 0.500 0.000
Sm 0.000 0.000 0.500
Sm 0.000 0.500 0.000
Sm 0.500 0.000 0.000
Sm 0.500 0.500 0.500
Hg 0.250 0.250 0.750
Hg 0.250 0.750 0.250
Hg 0.750 0.250 0.250
Hg 0.750 0.750 0.750
Pd 0.250 0.250 0.250
Pd 0.250 0.750 0.750
Pd 0.750 0.250 0.750
Pd 0.750 0.750 0.250



[7]
Density functional theory data (PBE-GGA) for a geometry-optimized PmSmHgPd structure.

## Properties
Density of states at the Fermi level in states/eV/f.u.: 3.4
Distance to the lowest polymorph of the same formula in meV/atom: 0
Total moment in μB/atom: 0.00

a b c (Å): 4.755 3.906 11.262
angles (deg): 90.00 90.00 90.00
Fractional coordinates of all 8 atoms:
Pm 0.000 0.000 0.000
Pm 0.000 0.500 0.500
Sm 0.500 0.000 0.280
Sm 0.500 0.500 0.780
Hg 0.500 0.000 0.559
Hg 0.500 0.500 0.059
Pd 0.000 0.000 0.725
Pd 0.000 0.500 0.225



[8]
Density functional theory data (PBE-GGA) for a geometry-optimized Pm2SnHg2Pd4 structure.

## Properties
Density of states at the Fermi level in states/eV/f.u.: 5.1
Total moment in μB/atom: 0.00
Electronic total energy in eV per atom: -4.1029

a b c (Å): 6.937 6.937 6.937
angles (deg): 124.21 124.21 82.85
Fractional coordinates of all 9 atoms:
Pm 0.201 0.201 0.000
Pm 0.799 0.799 0.000
Sn 0.500 0.500 0.000
Hg 0.250 0.750 0.500
Hg 0.750 0.250 0.500
Pd 0.216 0.216 0.433
Pd 0.216 0.784 0.000
Pd 0.784 0.216 0.000
Pd 0.784 0.784 0.567



Which value of density of states at the Fermi level does entry 2 give?
2.0 states/eV/f.u.